Entry 1:
## SrMnAsO6 (GGA+U)

Data for a geometry-optimized SrMnAsO6 structure.

a b c (Å): 4.9968 4.9968 5.4825
angles (deg): 90.00 90.00 120.00
Space group P312 (No. 149)
Inequivalent atoms, fractional coordinates:
Sr 0.0000 0.0000 0.0000 [1 per cell]
Mn 0.6667 0.3333 0.5000 [1 per cell]
As 0.3333 0.6667 0.5000 [1 per cell]
O 0.0088 0.3860 0.6937 [6 per cell]

E = -6.464 eV/atom
DOS(E_F) = 3.91 states/eV per cell



Entry 2:
## MnTcAsO6 (GGA+U)

Data for a geometry-optimized MnTcAsO6 structure.

a b c (Å): 5.0806 5.0806 9.2491
angles (deg): 90.00 90.00 120.00
Space group P-31c (No. 163)
Inequivalent atoms, fractional coordinates:
Mn 0.0000 0.0000 0.0000 [2 per cell]
Tc 0.3333 0.6667 0.2500 [2 per cell]
As 0.3333 0.6667 0.7500 [2 per cell]
O 0.0075 0.3634 0.6381 [12 per cell]

E = -7.145 eV/atom
DOS(E_F) = 6.21 states/eV per cell



Entry 3:
## TiMnAs2O8 (GGA+U)

Data for a geometry-optimized TiMnAs2O8 structure.

a b c (Å): 6.7252 6.7252 6.1257
angles (deg): 90.00 90.00 90.00
Space group I-4m2 (No. 119)
Inequivalent atoms, fractional coordinates:
Ti 0.0000 0.0000 0.0000 [2 per cell]
Mn 0.0000 0.5000 0.7500 [2 per cell]
As 0.0000 0.0000 0.5000 [2 per cell]
As 0.0000 0.5000 0.2500 [2 per cell]
O 0.0000 0.1819 0.6981 [8 per cell]
O 0.0000 0.3035 0.0697 [8 per cell]

E = -7.009 eV/atom